Density functional theory data (meta-GGA SCAN) for a PBEsol-optimized structure of Ba2UTiO6.

a = 8.3533 Å, b = 8.3533 Å, c = 8.3533 Å
α = 90.00°, β = 90.00°, γ = 90.00°
With the nearest neighbours (Å) after each atom.
Space group Fm-3m (No. 225)
Asymmetric unit:
Ba (0.2500, 0.2500, 0.2500) x8  12 O 2.95
U (0.0000, 0.0000, 0.0000) x4  6 O 2.16
Ti (0.0000, 0.0000, 0.5000) x4  6 O 2.01
O (0.0000, 0.0000, 0.2588) x24  1 Ti 2.01, 1 U 2.16

Results
The value obtained for the calculated volume is 14.57 Å³ per atom. The value obtained for the uncorrected energy is -1.98152 Ry/atom.